SiTc2Sb | PBE | optimized geometry

```
SiTc2Sb
1.0
0.000 3.129 3.129
3.129 0.000 3.129
3.129 3.129 0.000
Si Tc Sb
1 2 1
direct
0.000 0.000 0.000
0.250 0.250 0.250
0.750 0.750 0.750
0.500 0.500 0.500
```

## Properties
raw formation energy: -0.2 eV/f.u.
magnetic moment: 0.000 μB/cell
polymorph energy (0 for the lowest one): 9 kJ/mol of formula units